A plane-wave DFT calculation with PBE-GGA was carried out for crystalline CaSi3Ru at its relaxed geometry.

Properties
raw formation energy	2098	meV/atom
Fermi-level density of states	3.03	states/eV per cell

a = 4.998 Å, b = 4.998 Å, c = 4.998 Å
α = 90.00°, β = 90.00°, γ = 90.00°
Sites, in units of the cell vectors:
Ca (0.000, 0.000, 0.000)
Si (0.000, 0.000, 0.500)
Si (0.000, 0.500, 0.000)
Si (0.500, 0.000, 0.000)
Ru (0.500, 0.500, 0.500)

---

A plane-wave DFT calculation with PBE-GGA was carried out for crystalline Pm4AsSeI2 at its relaxed geometry.

Properties
raw formation energy	-1308	meV/atom
Fermi-level density of states	4.92	states/eV per cell

a = 7.417 Å, b = 4.328 Å, c = 7.943 Å
α = 90.00°, β = 108.42°, γ = 90.00°
Sites, in units of the cell vectors:
Pm (0.230, 0.000, 0.191)
Pm (0.270, 0.500, 0.808)
Pm (0.730, 0.500, 0.192)
Pm (0.770, 0.000, 0.809)
As (0.500, 0.000, 0.000)
Se (0.000, 0.500, 0.000)
I (0.000, 0.000, 0.500)
I (0.500, 0.500, 0.500)

---

A plane-wave DFT calculation with PBE-GGA was carried out for crystalline GaPRh at its relaxed geometry.

Properties
E_form	-398	meV per atom
relative energy among the computed polymorphs	67	meV/atom
Fermi-level density of states	1.43	states/eV per cell

a = 4.387 Å, b = 4.387 Å, c = 5.787 Å
α = 110.44°, β = 110.44°, γ = 84.22°
Sites, in units of the cell vectors:
Ga (0.075, 0.075, 0.320)
Ga (0.925, 0.925, 0.680)
P (0.244, 0.526, 0.169)
P (0.474, 0.756, 0.831)
Rh (0.625, 0.375, 0.500)
Rh (0.676, 0.324, 0.000)

---

A plane-wave DFT calculation with PBE-GGA was carried out for crystalline BaCu2P2 at its relaxed geometry.

Properties
E_form	26	meV per atom
Fermi-level density of states	5.29	states/eV per cell

a = 7.796 Å, b = 7.796 Å, c = 3.074 Å
α = 90.00°, β = 90.00°, γ = 90.00°
Sites, in units of the cell vectors:
Ba (0.000, 0.000, 0.000)
Ba (0.500, 0.500, 0.000)
Cu (0.109, 0.391, 0.000)
Cu (0.391, 0.891, 0.000)
Cu (0.609, 0.109, 0.000)
Cu (0.891, 0.609, 0.000)
P (0.155, 0.655, 0.500)
P (0.345, 0.155, 0.500)
P (0.655, 0.845, 0.500)
P (0.845, 0.345, 0.500)

---

A plane-wave DFT calculation with PBE-GGA was carried out for crystalline Li3TcOs at its relaxed geometry.

Properties
E_form	1651	meV per atom
relative energy among the computed polymorphs	0	meV/atom
Fermi-level density of states	4.51	states/eV per cell

a = 4.523 Å, b = 4.523 Å, c = 4.523 Å
α = 90.00°, β = 90.00°, γ = 90.00°
Sites, in units of the cell vectors:
Li (0.000, 0.000, 0.500)
Li (0.000, 0.500, 0.000)
Li (0.500, 0.000, 0.000)
Tc (0.500, 0.500, 0.500)
Os (0.000, 0.000, 0.000)

---

A plane-wave DFT calculation with PBE-GGA was carried out for crystalline AcLuAu2 at its relaxed geometry.

Properties
E_form	-812	meV per atom
relative energy among the computed polymorphs	0	meV/atom
Fermi-level density of states	1.73	states/eV per cell

a = 3.658 Å, b = 3.658 Å, c = 7.615 Å
α = 90.00°, β = 90.00°, γ = 90.00°
Sites, in units of the cell vectors:
Ac (0.000, 0.000, 0.000)
Lu (0.000, 0.000, 0.500)
Au (0.500, 0.500, 0.292)
Au (0.500, 0.500, 0.708)

---

A plane-wave DFT calculation with PBE-GGA was carried out for crystalline Ca2InGeN4 at its relaxed geometry.

Properties
raw formation energy	-302	meV/atom
Fermi-level density of states	9.54	states/eV per cell

a = 6.942 Å, b = 6.573 Å, c = 5.624 Å
α = 90.00°, β = 90.00°, γ = 90.00°
Sites, in units of the cell vectors:
Ca (0.247, 0.171, 0.000)
Ca (0.253, 0.829, 0.500)
Ca (0.747, 0.829, 0.500)
Ca (0.753, 0.171, 0.000)
In (0.000, 0.352, 0.507)
In (0.500, 0.648, 0.007)
Ge (0.000, 0.662, 0.011)
Ge (0.500, 0.338, 0.511)
N (0.000, 0.396, 0.892)
N (0.000, 0.648, 0.343)
N (0.225, 0.814, 0.930)
N (0.275, 0.186, 0.430)
N (0.500, 0.352, 0.843)
N (0.500, 0.604, 0.392)
N (0.725, 0.186, 0.430)
N (0.775, 0.814, 0.930)